DFT (PBE) results for a geometry-optimized NbAgRh structure.

Summary:
ΔE_f (eV/f.u.): 0.290
Space group: No. 69

Cell and atoms, written as POSCAR:
```
NbAgRh
1.0
5.4124 0.0000 0.0000
2.7062 3.6708 0.0000
2.7062 0.0000 5.4304
Rh Nb Ag
2 2 2
Cartesian
5.4124 0.0000 4.1002
2.7062 0.0000 1.3302
6.7655 1.8354 2.7152
4.0593 1.8354 2.7152
2.7062 2.3868 0.0000
5.4124 1.2840 0.0000
```


DFT (PBE) results for a geometry-optimized Fe2CuMo structure.

Summary:
Energy above the most stable polymorph in this dataset (eV per atom): 0.069
ΔE_f (eV/f.u.): 0.873
Space group: No. 12

Cell and atoms, written as POSCAR:
```
Fe2CuMo
1.0
-2.2894 2.7073 2.7794
-0.8478 1.2028 4.2580
3.2215 3.3773 0.2957
Fe Mo Cu
2 1 1
Cartesian
-0.0013 3.6378 3.7029
-3.0937 3.9159 7.0010
0.0633 5.4655 5.4998
0.0211 1.8218 1.8333
```


DFT (PBE) results for a geometry-optimized NaCoBi2 structure.

Summary:
Energy above the most stable polymorph in this dataset (eV per atom): 0.000
ΔE_f (eV/f.u.): 0.165
Space group: No. 166

Cell and atoms, written as POSCAR:
```
NaCoBi2
1.0
4.0209 0.0000 0.0000
2.0104 3.4822 0.0000
2.0104 1.1607 7.4954
Bi Na Co
2 1 1
Cartesian
2.0104 1.1607 1.2870
6.0313 3.4822 6.2084
4.0209 2.3214 3.7477
0.0000 0.0000 0.0000
```